A geometry-optimized Al3SiSn structure. Source: Alexandria via LeMat-Bulk, functional PBE.

The value obtained for the uncorrected formation energy is 1.132 eV per atom. The value obtained for the calculated density is 2.7 Mg/m³. The value obtained for the total energy is -2.998 eV per atom. For the density of states at the Fermi level, the calculation gives 0.95 states/eV per atom.

abc: 5.1856 5.1856 5.1856
angles: 90.00 90.00 90.00
Closest atoms and distances in Å follow each position.
Element x y z (fractional)
Si 0.5000 0.5000 0.5000  12 Al 3.67
Al 0.5000 0.0000 0.0000  2 Sn 2.59
Al 0.0000 0.0000 0.5000  2 Sn 2.59
Al 0.0000 0.5000 0.0000  2 Sn 2.59
Sn 0.0000 0.0000 0.0000  6 Al 2.59